Computed, not measured: a crystal of La2AuCl relaxed with PBEsol at the SCAN level of DFT.

## Properties
Energy above the most stable polymorph in this dataset   0 meV/atom
DOS(E_F)   2.55 states/eV per cell
E_tot   -169.23 eV/f.u.

extended XYZ file:
```
4
Lattice="4.185 0.000 0.000 0.000 4.185 0.000 0.000 0.000 6.156" Properties=species:S:1:pos:R:3 pbc="T T T"
La 0.000 0.000 0.000
La 2.093 2.093 3.078
Au 0.000 0.000 3.078
Cl 2.093 2.093 0.000
```